A relaxed structure of Rh2Au2O. Source: Alexandria via LeMat-Bulk, functional PBE.

a b c (Å): 3.502 3.502 7.437
angles (deg): 76.38 76.38 90.00
Fractional positions:
Rh1 0.250 0.750 0.500
Rh2 0.750 0.250 0.500
Au1 0.596 0.596 0.808
Au2 0.404 0.404 0.192
O1 0.000 0.000 0.000

Calculated values
SG: I4/mmm (139)
size of the total moment: 2.30 Bohr magnetons per cell
formation energy without anion corrections: 838 meV per atom